No. 1
K3YAl GGA-PBE relaxed; relative energy among the computed polymorphs = 0.0 meV/atom
1.0
6.528 0.000 0.000
0.000 6.528 0.000
0.000 0.000 6.528
K Y Al
3 1 1
direct
0.000 0.500 0.000
0.500 0.000 0.000
0.000 0.000 0.500
0.500 0.500 0.500
0.000 0.000 0.000

---

No. 2
H2IrBr GGA-PBE relaxed; relative energy among the computed polymorphs = 754.9 meV/atom
1.0
1.066 -1.557 3.407
-1.019 1.731 3.337
-2.670 -1.644 2.310
Br H Ir
1 2 1
direct
0.000 0.000 0.000
0.750 0.750 0.750
0.250 0.250 0.250
0.500 0.500 0.500

---

No. 3
PaCrGe2S6 GGA-PBE relaxed; E_form (uncorrected) = -0.72 eV per atom
1.0
6.710 0.087 -0.135
-3.276 6.025 0.111
-3.499 -2.019 5.774
S Pa Ge Cr
6 1 2 1
direct
0.464 0.833 0.654
0.525 0.161 0.181
0.875 0.660 0.652
0.124 0.321 0.281
0.105 0.307 0.746
0.860 0.689 0.168
0.995 0.998 0.959
0.503 0.697 0.349
0.521 0.314 0.857
0.995 0.498 0.454

---

No. 4
BaMnHg2 GGA-PBE relaxed; electronic total energy = -11.12 eV/f.u.
1.0
4.636 0.000 0.000
0.000 5.044 0.000
0.000 0.000 5.044
Ba Hg Mn
1 2 1
direct
0.500 0.000 0.500
0.000 0.500 0.500
0.000 0.000 0.000
0.500 0.500 0.000

---

No. 5
Sn6Te3AuSe2 GGA-PBE relaxed; E_form (uncorrected) = -0.29 eV per atom
1.0
-1.469 -6.962 -2.485
6.312 1.381 3.879
-4.974 0.386 5.574
Se Sn Te Au
2 6 3 1
direct
0.334 0.666 0.000
0.666 0.334 0.000
0.395 0.073 0.221
0.927 0.605 0.779
0.073 0.395 0.221
0.758 0.758 0.234
0.605 0.927 0.779
0.242 0.242 0.766
0.827 0.173 0.500
0.500 0.500 0.500
0.173 0.827 0.500
0.000 0.000 0.000

---

No. 6
CrPtW2 GGA-PBE relaxed; relative energy among the computed polymorphs = 119.3 meV/atom
1.0
-3.131 -2.463 2.691
-0.850 -3.900 2.679
1.212 1.889 4.351
Pt W Cr
1 2 1
direct
0.250 0.250 0.250
0.503 0.503 0.502
0.997 0.997 0.998
0.750 0.750 0.750

---

No. 7
Dy3ErGa GGA-PBE relaxed; electronic total energy = -21.73 eV/f.u.
1.0
-3.742 -3.059 5.572
3.775 -5.490 -3.164
5.108 5.109 1.688
Dy Er Ga
6 2 2
direct
0.724 0.445 0.170
0.842 0.027 0.253
0.158 0.973 0.747
0.276 0.555 0.830
0.774 0.589 0.747
0.226 0.411 0.253
0.702 0.066 0.769
0.298 0.934 0.231
0.370 0.244 0.614
0.630 0.756 0.386

---

No. 8
NaBH3 GGA-PBE relaxed; relative energy among the computed polymorphs = 0.0 meV/atom
1.0
5.336 1.253 -0.868
0.753 4.270 -0.974
-0.511 -1.136 4.647
H B Na
6 2 2
direct
0.929 0.945 0.728
0.509 0.859 0.164
0.389 0.871 0.516
0.942 0.494 0.737
0.522 0.408 0.174
0.063 0.482 0.386
0.564 0.697 0.340
0.887 0.655 0.561
0.972 0.947 0.225
0.480 0.405 0.676